# 1
# Nd2Br3Cl3 PBE relaxed
data_Nd2Br3Cl3
_symmetry_space_group_name_H-M 'P -6'
_symmetry_Int_Tables_number 174
_cell_length_a 7.7274
_cell_length_b 7.7274
_cell_length_c 4.3215
_cell_angle_alpha 90.00
_cell_angle_beta 90.00
_cell_angle_gamma 120.00
loop_
_symmetry_equiv_pos_as_xyz
'x,y,z'
'-x+y,-x,-z'
'-y,x-y,z'
'x,y,-z'
'-x+y,-x,z'
'-y,x-y,-z'
loop_
_atom_site_label
_atom_site_fract_x
_atom_site_fract_y
_atom_site_fract_z
_atom_site_occupancy
Nd1 0.0000 0.0000 0.0000 1
Nd2 0.3333 0.6667 0.5000 1
Br1 0.3010 0.2474 0.5000 1
Cl1 0.0746 0.4209 0.0000 1
# - total energy (hartree per atom) = -0.16850

=====

# 2
# NdBrCl2 PBE relaxed
data_NdBrCl2
_symmetry_space_group_name_H-M 'P 1 21/m 1'
_symmetry_Int_Tables_number 11
_cell_length_a 7.437
_cell_length_b 4.299
_cell_length_c 7.687
_cell_angle_alpha 90.00
_cell_angle_beta 117.58
_cell_angle_gamma 90.00
loop_
_symmetry_equiv_pos_as_xyz
'x,y,z'
'-x,-y,-z'
'-x,y+1/2,-z'
'x,-y+1/2,z'
loop_
_atom_site_label
_atom_site_fract_x
_atom_site_fract_y
_atom_site_fract_z
_atom_site_occupancy
Nd1 0.171 0.250 0.338 1
Br1 0.216 0.750 0.080 1
Cl1 0.102 0.250 0.686 1
Cl2 0.405 0.750 0.597 1
# - total energy (hartree per atom) = -0.17202

=====

# 3
# NdBrCl2 PBE relaxed
data_NdBrCl2
_symmetry_space_group_name_H-M 'P 1 m 1'
_symmetry_Int_Tables_number 6
_cell_length_a 7.572
_cell_length_b 4.291
_cell_length_c 7.648
_cell_angle_alpha 90.00
_cell_angle_beta 119.01
_cell_angle_gamma 90.00
loop_
_symmetry_equiv_pos_as_xyz
'x,y,z'
'x,-y,z'
loop_
_atom_site_label
_atom_site_fract_x
_atom_site_fract_y
_atom_site_fract_z
_atom_site_occupancy
Nd1 0.000 0.000 0.000 1
Nd2 0.330 0.500 0.669 1
Br1 0.026 0.000 0.415 1
Br2 0.579 0.000 0.611 1
Cl1 0.263 0.500 0.240 1
Cl2 0.364 0.000 0.941 1
Cl3 0.745 0.500 0.015 1
Cl4 0.981 0.500 0.738 1
# - total energy (hartree per atom) = -0.17182

=====

# 4
# Nd2Br3Cl3 PBE relaxed
data_Nd2Br3Cl3
_symmetry_space_group_name_H-M 'P -6'
_symmetry_Int_Tables_number 174
_cell_length_a 7.7274
_cell_length_b 7.7274
_cell_length_c 4.3215
_cell_angle_alpha 90.00
_cell_angle_beta 90.00
_cell_angle_gamma 120.00
loop_
_symmetry_equiv_pos_as_xyz
'x,y,z'
'-x+y,-x,-z'
'-y,x-y,z'
'x,y,-z'
'-x+y,-x,z'
'-y,x-y,-z'
loop_
_atom_site_label
_atom_site_fract_x
_atom_site_fract_y
_atom_site_fract_z
_atom_site_occupancy
Nd1 0.0000 0.0000 0.0000 1
Nd2 0.3333 0.6667 0.5000 1
Br1 0.3010 0.2474 0.5000 1
Cl1 0.0746 0.4209 0.0000 1
# - total energy (hartree per atom) = -0.16850

=====

# 5
# NdBrCl2 PBE relaxed
data_NdBrCl2
_symmetry_space_group_name_H-M 'C m c m'
_symmetry_Int_Tables_number 63
_symmetry_space_group_name_Hall '-C 2c 2'
_cell_length_a 4.056
_cell_length_b 12.895
_cell_length_c 8.750
_cell_angle_alpha 90.00
_cell_angle_beta 90.00
_cell_angle_gamma 90.00
loop_
_atom_site_label
_atom_site_fract_x
_atom_site_fract_y
_atom_site_fract_z
_atom_site_occupancy
Nd1 0.000 0.243 0.250 1
Br1 0.000 0.419 0.750 1
Cl1 0.000 0.157 0.568 1
# - total energy (hartree per atom) = -0.17167

=====

# 6
# Nd2Br3Cl3 PBE relaxed
data_Nd2Br3Cl3
_symmetry_space_group_name_H-M 'P 1 m 1'
_symmetry_Int_Tables_number 6
_cell_length_a 7.656
_cell_length_b 4.310
_cell_length_c 7.689
_cell_angle_alpha 90.00
_cell_angle_beta 117.42
_cell_angle_gamma 90.00
loop_
_symmetry_equiv_pos_as_xyz
'x,y,z'
'x,-y,z'
loop_
_atom_site_label
_atom_site_fract_x
_atom_site_fract_y
_atom_site_fract_z
_atom_site_occupancy
Nd1 0.000 0.000 0.000 1
Nd2 0.338 0.500 0.678 1
Br1 0.387 0.000 0.425 1
Br2 0.580 0.000 0.965 1
Br3 0.968 0.500 0.266 1
Cl1 0.073 0.000 0.655 1
Cl2 0.260 0.500 0.024 1
Cl3 0.765 0.500 0.746 1
# - total energy (hartree per atom) = -0.16852

=====

# 7
# Nd2BrClO2 PBE relaxed
data_Nd2BrClO2
_symmetry_space_group_name_H-M 'P 4 m m'
_symmetry_Int_Tables_number 99
_cell_length_a 4.038
_cell_length_b 4.038
_cell_length_c 7.301
_cell_angle_alpha 90.00
_cell_angle_beta 90.00
_cell_angle_gamma 90.00
loop_
_symmetry_equiv_pos_as_xyz
'x,y,z'
'-y,x,z'
'-x,-y,z'
'y,-x,z'
'-x,y,z'
'y,x,z'
'x,-y,z'
'-y,-x,z'
loop_
_atom_site_label
_atom_site_fract_x
_atom_site_fract_y
_atom_site_fract_z
_atom_site_occupancy
Nd1 0.000 0.000 0.000 1
Nd2 0.500 0.500 0.327 1
Br1 0.000 0.000 0.543 1
Cl1 0.500 0.500 0.817 1
O1 0.000 0.500 0.166 1
# - total energy (hartree per atom) = -0.24857

=====

# 8
# Nd2PBrCl PBE relaxed
data_Nd2PBrCl
_symmetry_space_group_name_H-M 'P 3 m 1'
_symmetry_Int_Tables_number 156
_cell_length_a 4.1283
_cell_length_b 4.1283
_cell_length_c 10.2708
_cell_angle_alpha 90.00
_cell_angle_beta 90.00
_cell_angle_gamma 120.00
loop_
_symmetry_equiv_pos_as_xyz
'x,y,z'
'-y,x-y,z'
'-x+y,-x,z'
'-y,-x,z'
'-x+y,y,z'
'x,x-y,z'
loop_
_atom_site_label
_atom_site_fract_x
_atom_site_fract_y
_atom_site_fract_z
_atom_site_occupancy
Nd1 0.0000 0.0000 0.0000 1
Nd2 0.3333 0.6667 0.6874 1
P1 0.6667 0.3333 0.8438 1
Br1 0.3333 0.6667 0.1831 1
Cl1 0.0000 0.0000 0.5250 1
# - total energy (hartree per atom) = -0.20399

=====

# 9
# NiBr2Cl2 PBE relaxed
data_NiBr2Cl2
_symmetry_space_group_name_H-M 'P 1 2/m 1'
_symmetry_Int_Tables_number 10
_cell_length_a 5.455
_cell_length_b 3.597
_cell_length_c 5.989
_cell_angle_alpha 90.00
_cell_angle_beta 93.98
_cell_angle_gamma 90.00
loop_
_symmetry_equiv_pos_as_xyz
'x,y,z'
'-x,-y,-z'
'-x,y,-z'
'x,-y,z'
loop_
_atom_site_label
_atom_site_fract_x
_atom_site_fract_y
_atom_site_fract_z
_atom_site_occupancy
Ni1 0.000 0.000 0.000 1
Br1 0.214 0.500 0.823 1
Cl1 0.285 0.000 0.286 1
# - total energy (hartree per atom) = -0.09879

=====

# 10
# NiS2Br2Cl4 PBE relaxed
data_NiS2Br2Cl4
_symmetry_space_group_name_H-M 'P -1'
_symmetry_Int_Tables_number 2
_cell_length_a 4.528
_cell_length_b 6.883
_cell_length_c 8.403
_cell_angle_alpha 105.17
_cell_angle_beta 98.24
_cell_angle_gamma 94.13
loop_
_symmetry_equiv_pos_as_xyz
'x,y,z'
'-x,-y,-z'
loop_
_atom_site_label
_atom_site_fract_x
_atom_site_fract_y
_atom_site_fract_z
_atom_site_occupancy
Ni1 0.000 0.000 0.000 1
S1 0.295 0.220 0.206 1
Br1 0.067 0.502 0.217 1
Cl1 0.260 0.175 0.433 1
Cl2 0.270 0.140 0.858 1
# - total energy (hartree per atom) = -0.10870

=====

# 11
# NpBrCl3 PBE relaxed
data_NpBrCl3
_symmetry_space_group_name_H-M 'C 1 2/m 1'
_symmetry_Int_Tables_number 12
_cell_length_a 12.693
_cell_length_b 8.084
_cell_length_c 8.614
_cell_angle_alpha 90.00
_cell_angle_beta 131.74
_cell_angle_gamma 90.00
loop_
_symmetry_equiv_pos_as_xyz
'x,y,z'
'-x,-y,-z'
'-x,y,-z'
'x,-y,z'
'x+1/2,y+1/2,z'
'-x+1/2,-y+1/2,-z'
'-x+1/2,y+1/2,-z'
'x+1/2,-y+1/2,z'
loop_
_atom_site_label
_atom_site_fract_x
_atom_site_fract_y
_atom_site_fract_z
_atom_site_occupancy
Np1 0.000 0.246 0.000 1
Br1 0.206 0.500 0.181 1
Cl1 0.023 0.248 0.310 1
Cl2 0.189 0.000 0.167 1
# - total energy (hartree per atom) = -0.20249

=====

# 12
# NpBrCl2 PBE relaxed
data_NpBrCl2
_symmetry_space_group_name_H-M 'P 1 21/m 1'
_symmetry_Int_Tables_number 11
_cell_length_a 7.344
_cell_length_b 4.311
_cell_length_c 7.591
_cell_angle_alpha 90.00
_cell_angle_beta 117.69
_cell_angle_gamma 90.00
loop_
_symmetry_equiv_pos_as_xyz
'x,y,z'
'-x,-y,-z'
'-x,y+1/2,-z'
'x,-y+1/2,z'
loop_
_atom_site_label
_atom_site_fract_x
_atom_site_fract_y
_atom_site_fract_z
_atom_site_occupancy
Np1 0.170 0.250 0.338 1
Br1 0.215 0.750 0.079 1
Cl1 0.102 0.250 0.686 1
Cl2 0.406 0.750 0.598 1
# - total energy (hartree per atom) = -0.22597

=====

# 13
# OsBrClO PBE relaxed
data_OsBrClO
_symmetry_space_group_name_H-M 'I m m 2'
_symmetry_Int_Tables_number 44
_cell_length_a 3.719
_cell_length_b 3.728
_cell_length_c 11.425
_cell_angle_alpha 90.00
_cell_angle_beta 90.00
_cell_angle_gamma 90.00
loop_
_symmetry_equiv_pos_as_xyz
'x,y,z'
'-x,-y,z'
'-x,y,z'
'x,-y,z'
'x+1/2,y+1/2,z+1/2'
'-x+1/2,-y+1/2,z+1/2'
'-x+1/2,y+1/2,z+1/2'
'x+1/2,-y+1/2,z+1/2'
loop_
_atom_site_label
_atom_site_fract_x
_atom_site_fract_y
_atom_site_fract_z
_atom_site_occupancy
Os1 0.000 0.000 0.000 1
Br1 0.000 0.500 0.351 1
Cl1 0.000 0.500 0.638 1
O1 0.000 0.500 0.001 1
# - total energy (hartree per atom) = -0.20108

=====

# 14
# Sm2BrClO2 PBE relaxed
data_Sm2BrClO2
_symmetry_space_group_name_H-M 'P 4 m m'
_symmetry_Int_Tables_number 99
_cell_length_a 3.935
_cell_length_b 3.935
_cell_length_c 7.732
_cell_angle_alpha 90.00
_cell_angle_beta 90.00
_cell_angle_gamma 90.00
loop_
_symmetry_equiv_pos_as_xyz
'x,y,z'
'-y,x,z'
'-x,-y,z'
'y,-x,z'
'-x,y,z'
'y,x,z'
'x,-y,z'
'-y,-x,z'
loop_
_atom_site_label
_atom_site_fract_x
_atom_site_fract_y
_atom_site_fract_z
_atom_site_occupancy
Sm1 0.000 0.000 0.000 1
Sm2 0.500 0.500 0.305 1
Br1 0.000 0.000 0.516 1
Cl1 0.500 0.500 0.824 1
O1 0.000 0.500 0.155 1
# - total energy (hartree per atom) = -0.24872

=====

# 15
# Sr2ZnBrClO2 PBE relaxed
data_Sr2ZnBrClO2
_symmetry_space_group_name_H-M 'I 4 m m'
_symmetry_Int_Tables_number 107
_symmetry_space_group_name_Hall 'I 4 -2'
_cell_length_a 4.081
_cell_length_b 4.081
_cell_length_c 16.234
_cell_angle_alpha 90.00
_cell_angle_beta 90.00
_cell_angle_gamma 90.00
loop_
_atom_site_label
_atom_site_fract_x
_atom_site_fract_y
_atom_site_fract_z
_atom_site_occupancy
Sr1 0.000 0.000 0.000 1
Sr2 0.000 0.000 0.203 1
Zn1 0.000 0.000 0.602 1
Br1 0.000 0.000 0.788 1
Cl1 0.000 0.000 0.433 1
O1 0.000 0.500 0.103 1
# - total energy (hartree per atom) = -0.17464

=====

# 16
# TmBrClO2 PBE relaxed
data_TmBrClO2
_symmetry_space_group_name_H-M 'P -1'
_symmetry_Int_Tables_number 2
_cell_length_a 6.717
_cell_length_b 6.900
_cell_length_c 6.940
_cell_angle_alpha 66.63
_cell_angle_beta 62.04
_cell_angle_gamma 64.76
loop_
_symmetry_equiv_pos_as_xyz
'x,y,z'
'-x,-y,-z'
loop_
_atom_site_label
_atom_site_fract_x
_atom_site_fract_y
_atom_site_fract_z
_atom_site_occupancy
Tm1 0.169 0.000 0.163 1
Br1 0.017 0.707 0.579 1
Cl1 0.417 0.275 0.867 1
O1 0.096 0.789 0.025 1
O2 0.198 0.935 0.844 1
# - total energy (hartree per atom) = -0.19089

=====

# 17
# OsBr2Cl3 PBE relaxed
data_OsBr2Cl3
_symmetry_space_group_name_H-M 'P -1'
_symmetry_Int_Tables_number 2
_cell_length_a 6.425
_cell_length_b 6.979
_cell_length_c 9.448
_cell_angle_alpha 109.45
_cell_angle_beta 90.83
_cell_angle_gamma 115.58
loop_
_symmetry_equiv_pos_as_xyz
'x,y,z'
'-x,-y,-z'
loop_
_atom_site_label
_atom_site_fract_x
_atom_site_fract_y
_atom_site_fract_z
_atom_site_occupancy
Os1 0.096 0.202 0.205 1
Br1 0.077 0.818 0.574 1
Br2 0.438 0.566 0.328 1
Cl1 0.111 0.629 0.852 1
Cl2 0.228 0.171 0.958 1
Cl3 0.292 0.010 0.242 1
# - total energy (hartree per atom) = -0.13311

=====

# 18
# OsBrCl4 PBE relaxed
data_OsBrCl4
_symmetry_space_group_name_H-M 'P -1'
_symmetry_Int_Tables_number 2
_cell_length_a 6.327
_cell_length_b 6.872
_cell_length_c 9.326
_cell_angle_alpha 109.35
_cell_angle_beta 91.11
_cell_angle_gamma 116.37
loop_
_symmetry_equiv_pos_as_xyz
'x,y,z'
'-x,-y,-z'
loop_
_atom_site_label
_atom_site_fract_x
_atom_site_fract_y
_atom_site_fract_z
_atom_site_occupancy
Os1 0.099 0.205 0.207 1
Br1 0.077 0.818 0.570 1
Cl1 0.111 0.624 0.851 1
Cl2 0.234 0.177 0.958 1
Cl3 0.299 0.013 0.245 1
Cl4 0.428 0.557 0.326 1
# - total energy (hartree per atom) = -0.13621

=====

# 19
# OsBr2Cl2 PBE relaxed
data_OsBr2Cl2
_symmetry_space_group_name_H-M 'C 1 2/m 1'
_symmetry_Int_Tables_number 12
_cell_length_a 12.253
_cell_length_b 6.616
_cell_length_c 8.207
_cell_angle_alpha 90.00
_cell_angle_beta 129.15
_cell_angle_gamma 90.00
loop_
_symmetry_equiv_pos_as_xyz
'x,y,z'
'-x,-y,-z'
'-x,y,-z'
'x,-y,z'
'x+1/2,y+1/2,z'
'-x+1/2,-y+1/2,-z'
'-x+1/2,y+1/2,-z'
'x+1/2,-y+1/2,z'
loop_
_atom_site_label
_atom_site_fract_x
_atom_site_fract_y
_atom_site_fract_z
_atom_site_occupancy
Os1 0.000 0.204 0.000 1
Br1 0.175 0.500 0.165 1
Br2 0.217 0.000 0.201 1
Cl1 0.002 0.227 0.284 1
# - total energy (hartree per atom) = -0.14135

=====

# 20
# PaSe2BrCl PBE relaxed
data_PaSe2BrCl
_symmetry_space_group_name_H-M 'P -1'
_symmetry_Int_Tables_number 2
_cell_length_a 7.021
_cell_length_b 7.340
_cell_length_c 7.902
_cell_angle_alpha 67.95
_cell_angle_beta 69.06
_cell_angle_gamma 62.37
loop_
_symmetry_equiv_pos_as_xyz
'x,y,z'
'-x,-y,-z'
loop_
_atom_site_label
_atom_site_fract_x
_atom_site_fract_y
_atom_site_fract_z
_atom_site_occupancy
Pa1 0.138 0.215 0.499 1
Se1 0.067 0.590 0.186 1
Se2 0.262 0.464 0.623 1
Br1 0.412 0.848 0.740 1
Cl1 0.162 0.983 0.283 1
# - total energy (hartree per atom) = -0.19415

=====

# 21
# PdBr2Cl2 PBE relaxed
data_PdBr2Cl2
_symmetry_space_group_name_H-M 'C 1 2/m 1'
_symmetry_Int_Tables_number 12
_cell_length_a 11.012
_cell_length_b 7.508
_cell_length_c 8.103
_cell_angle_alpha 90.00
_cell_angle_beta 129.28
_cell_angle_gamma 90.00
loop_
_symmetry_equiv_pos_as_xyz
'x,y,z'
'-x,-y,-z'
'-x,y,-z'
'x,-y,z'
'x+1/2,y+1/2,z'
'-x+1/2,-y+1/2,-z'
'-x+1/2,y+1/2,-z'
'x+1/2,-y+1/2,z'
loop_
_atom_site_label
_atom_site_fract_x
_atom_site_fract_y
_atom_site_fract_z
_atom_site_occupancy
Pd1 0.000 0.250 0.000 1
Br1 0.198 0.000 0.172 1
Br2 0.199 0.500 0.172 1
Cl1 0.001 0.251 0.712 1
# - total energy (hartree per atom) = -0.09740

=====

# 22
# Pd2Br5Cl PBE relaxed
data_Pd2Br5Cl
_symmetry_space_group_name_H-M 'A m m 2'
_symmetry_Int_Tables_number 38
_cell_length_a 6.232
_cell_length_b 11.865
_cell_length_c 6.807
_cell_angle_alpha 90.00
_cell_angle_beta 90.00
_cell_angle_gamma 90.00
loop_
_symmetry_equiv_pos_as_xyz
'x,y,z'
'-x,-y,z'
'-x,y,z'
'x,-y,z'
'x,y+1/2,z+1/2'
'-x,-y+1/2,z+1/2'
'-x,y+1/2,z+1/2'
'x,-y+1/2,z+1/2'
loop_
_atom_site_label
_atom_site_fract_x
_atom_site_fract_y
_atom_site_fract_z
_atom_site_occupancy
Pd1 0.250 0.000 0.000 1
Br1 0.000 0.000 0.706 1
Br2 0.000 0.148 0.154 1
Br3 0.500 0.150 0.847 1
Cl1 0.500 0.000 0.276 1
# - total energy (hartree per atom) = -0.10198

=====

# 23
# PdBr2Cl PBE relaxed
data_PdBr2Cl
_symmetry_space_group_name_H-M 'A m m 2'
_symmetry_Int_Tables_number 38
_cell_length_a 6.199
_cell_length_b 11.562
_cell_length_c 6.675
_cell_angle_alpha 90.00
_cell_angle_beta 90.00
_cell_angle_gamma 90.00
loop_
_symmetry_equiv_pos_as_xyz
'x,y,z'
'-x,-y,z'
'-x,y,z'
'x,-y,z'
'x,y+1/2,z+1/2'
'-x,-y+1/2,z+1/2'
'-x,y+1/2,z+1/2'
'x,-y+1/2,z+1/2'
loop_
_atom_site_label
_atom_site_fract_x
_atom_site_fract_y
_atom_site_fract_z
_atom_site_occupancy
Pd1 0.249 0.000 0.000 1
Br1 0.000 0.000 0.688 1
Br2 0.500 0.000 0.312 1
Br3 0.500 0.152 0.854 1
Cl1 0.000 0.143 0.139 1
# - total energy (hartree per atom) = -0.10361

=====

# 24
# PdBr2Cl PBE relaxed
data_PdBr2Cl
_symmetry_space_group_name_H-M 'A m a 2'
_symmetry_Int_Tables_number 40
_cell_length_a 6.193
_cell_length_b 6.646
_cell_length_c 11.503
_cell_angle_alpha 90.00
_cell_angle_beta 90.00
_cell_angle_gamma 90.00
loop_
_symmetry_equiv_pos_as_xyz
'x,y,z'
'-x,-y,z'
'-x+1/2,y,z'
'x+1/2,-y,z'
'x,y+1/2,z+1/2'
'-x,-y+1/2,z+1/2'
'-x+1/2,y+1/2,z+1/2'
'x+1/2,-y+1/2,z+1/2'
loop_
_atom_site_label
_atom_site_fract_x
_atom_site_fract_y
_atom_site_fract_z
_atom_site_occupancy
Pd1 0.000 0.000 0.000 1
Br1 0.250 0.146 0.847 1
Br2 0.250 0.185 0.501 1
Cl1 0.250 0.138 0.143 1
# - total energy (hartree per atom) = -0.10361